First-principles (PBE) data for a relaxed LaMgGaNi crystal, as listed in the Alexandria database.

Cell: 4.895 4.895 4.895 Å, 60.00 60.00 60.00°
Fractional coordinates of all 4 atoms:
Mg  0.250  0.250  0.250
Ni  0.000  0.000  0.000
La  0.750  0.750  0.750
Ga  0.500  0.500  0.500

## Properties
SG   F-43m (216)
Uncorrected energy   -16.5 eV/cell

***

First-principles (PBE) data for a relaxed LaMgGa2Ni crystal, as listed in the Alexandria database.

Cell: 4.267 4.301 6.269 Å, 110.07 109.90 90.00°
Fractional coordinates of all 5 atoms:
Ga  0.042  0.042  0.085
Ga  0.703  0.203  0.406
Ni  0.826  0.826  0.652
La  0.444  0.444  0.887
Mg  0.197  0.697  0.394

## Properties
SG   Imm2 (44)
E above lowest polymorph   0 meV/atom

***

First-principles (PBE) data for a relaxed LaMg2GaNi2 crystal, as listed in the Alexandria database.

Cell: 4.517 4.517 6.099 Å, 90.00 90.00 90.00°
Fractional coordinates of all 6 atoms:
La  0.000  0.000  0.500
Ga  0.000  0.000  0.000
Ni  0.500  0.000  0.000
Ni  0.000  0.500  0.000
Mg  0.500  0.500  0.240
Mg  0.500  0.500  0.760

## Properties
SG   P4/mmm (123)
Uncorrected energy   -23.7 eV/cell

***

First-principles (PBE) data for a relaxed LaMgGa2Ni crystal, as listed in the Alexandria database.

Cell: 4.662 4.662 4.757 Å, 90.00 90.00 90.00°
Fractional coordinates of all 5 atoms:
Mg  0.000  0.000  0.500
Ni  0.000  0.000  0.000
La  0.500  0.500  0.500
Ga  0.000  0.500  0.000
Ga  0.500  0.000  0.000

## Properties
SG   P4/mmm (123)
E above lowest polymorph   92 meV/atom

***

First-principles (PBE) data for a relaxed La3MgGa2O9 crystal, as listed in the Alexandria database.

Cell: 5.533 5.533 6.840 Å, 90.00 90.00 120.00°
Fractional coordinates of all 15 atoms:
O  0.000  0.500  0.000
O  0.500  0.000  0.000
O  0.662  0.831  0.330
O  0.169  0.831  0.330
O  0.169  0.338  0.330
O  0.831  0.169  0.670
O  0.831  0.662  0.670
O  0.338  0.169  0.670
O  0.500  0.500  0.000
La  0.000  0.000  0.000
La  0.667  0.333  0.339
La  0.333  0.667  0.661
Mg  0.000  0.000  0.500
Ga  0.667  0.333  0.833
Ga  0.333  0.667  0.167

## Properties
Formation energy from raw total energies   -2607 meV per atom
SG   P-3m1 (164)

***

First-principles (PBE) data for a relaxed La2MgGaO crystal, as listed in the Alexandria database.

Cell: 5.109 5.109 4.300 Å, 90.00 90.00 90.00°
Fractional coordinates of all 5 atoms:
O  0.000  0.000  0.000
Ga  0.500  0.500  0.500
La  0.000  0.500  0.000
La  0.500  0.000  0.000
Mg  0.000  0.000  0.500

## Properties
Formation energy from raw total energies   -1304 meV per atom
SG   P4/mmm (123)

***

First-principles (PBE) data for a relaxed LaMgGa2Os crystal, as listed in the Alexandria database.

Cell: 4.810 4.810 4.938 Å, 90.00 90.00 90.00°
Fractional coordinates of all 5 atoms:
Ga  0.000  0.500  0.000
Ga  0.500  0.000  0.000
Mg  0.000  0.000  0.500
La  0.500  0.500  0.500
Os  0.000  0.000  0.000

## Properties
SG   P4/mmm (123)
Uncorrected energy   -25.1 eV/cell

***

First-principles (PBE) data for a relaxed La2MgGaOs crystal, as listed in the Alexandria database.

Cell: 5.555 5.555 4.934 Å, 90.00 90.00 90.00°
Fractional coordinates of all 5 atoms:
La  0.000  0.500  0.000
La  0.500  0.000  0.000
Os  0.000  0.000  0.000
Ga  0.000  0.000  0.500
Mg  0.500  0.500  0.500

## Properties
SG   P4/mmm (123)
E above lowest polymorph   0 meV/atom